[1]
DFT (PBE-GGA) results for a geometry-optimized BaSi3B structure.

The structure in CIF format:
```
data_BaSi3B
_space_group_name_H-M_alt 'P 1'
_space_group_IT_number 1
_cell_length_a 5.688
_cell_length_b 5.688
_cell_length_c 5.688
_cell_angle_alpha 90.00
_cell_angle_beta 90.00
_cell_angle_gamma 90.00
loop_
_space_group_symop_operation_xyz
'x,y,z'
loop_
_atom_site_label
_atom_site_type_symbol
_atom_site_fract_x
_atom_site_fract_y
_atom_site_fract_z
Si1 Si 0.000 0.500 0.000
Si2 Si 0.000 0.000 0.500
Si3 Si 0.500 0.000 0.000
B1 B 0.500 0.500 0.500
Ba1 Ba 0.000 0.000 0.000
```

**Energy above the lowest structure with this stoichiometry**: 2.075 eV/atom
**N(E_F)**: 4.65 states/eV per cell
**Magnetization**: 0.00 μB/f.u.
**E_form (uncorrected)**: 13.29 eV per formula unit

=====

[2]
DFT (PBE-GGA) results for a geometry-optimized Ba2SiB structure.

The structure in CIF format:
```
data_Ba2SiB
_space_group_name_H-M_alt 'P 1'
_space_group_IT_number 1
_cell_length_a 8.491
_cell_length_b 8.491
_cell_length_c 7.080
_cell_angle_alpha 53.15
_cell_angle_beta 53.15
_cell_angle_gamma 90.00
loop_
_space_group_symop_operation_xyz
'x,y,z'
loop_
_atom_site_label
_atom_site_type_symbol
_atom_site_fract_x
_atom_site_fract_y
_atom_site_fract_z
Si1 Si 0.000 0.000 0.000
Si2 Si 0.750 0.250 0.500
B1 B 0.500 0.500 0.000
B2 B 0.250 0.750 0.500
Ba1 Ba 0.590 0.125 0.250
Ba2 Ba 0.160 0.625 0.250
Ba3 Ba 0.375 0.410 0.750
Ba4 Ba 0.875 0.840 0.750
```

**Energy above the lowest structure with this stoichiometry**: 0.258 eV/atom
**N(E_F)**: 6.40 states/eV per cell
**Magnetization**: 1.09 μB/f.u.
**E_form (uncorrected)**: 3.30 eV per formula unit

=====

[3]
DFT (PBE-GGA) results for a geometry-optimized BaSi3B structure.

The structure in CIF format:
```
data_BaSi3B
_space_group_name_H-M_alt 'P 1'
_space_group_IT_number 1
_cell_length_a 4.586
_cell_length_b 4.586
_cell_length_c 4.586
_cell_angle_alpha 90.00
_cell_angle_beta 90.00
_cell_angle_gamma 90.00
loop_
_space_group_symop_operation_xyz
'x,y,z'
loop_
_atom_site_label
_atom_site_type_symbol
_atom_site_fract_x
_atom_site_fract_y
_atom_site_fract_z
Si1 Si 0.000 0.500 0.000
Si2 Si 0.000 0.000 0.500
Si3 Si 0.500 0.000 0.000
B1 B 0.000 0.000 0.000
Ba1 Ba 0.500 0.500 0.500
```

**Energy above the lowest structure with this stoichiometry**: 0.000 eV/atom
**N(E_F)**: 1.75 states/eV per cell
**Magnetization**: 0.00 μB/f.u.
**E_form (uncorrected)**: 2.92 eV per formula unit

=====

[4]
DFT (PBE-GGA) results for a geometry-optimized BaSiB2 structure.

The structure in CIF format:
```
data_BaSiB2
_space_group_name_H-M_alt 'P 1'
_space_group_IT_number 1
_cell_length_a 4.713
_cell_length_b 4.713
_cell_length_c 7.334
_cell_angle_alpha 71.26
_cell_angle_beta 71.26
_cell_angle_gamma 90.00
loop_
_space_group_symop_operation_xyz
'x,y,z'
loop_
_atom_site_label
_atom_site_type_symbol
_atom_site_fract_x
_atom_site_fract_y
_atom_site_fract_z
Si1 Si 0.500 0.500 0.000
Si2 Si 0.250 0.750 0.500
B1 B 0.375 0.125 0.250
B2 B 0.375 0.625 0.250
B3 B 0.375 0.625 0.750
B4 B 0.875 0.625 0.750
Ba1 Ba 0.000 0.000 0.000
Ba2 Ba 0.750 0.250 0.500
```

**N(E_F)**: 2.95 states/eV per cell
**Magnetization**: 0.00 μB/f.u.
**E_form (uncorrected)**: 1.26 eV per formula unit

=====

[5]
DFT (PBE-GGA) results for a geometry-optimized Ba3SmB24 structure.

The structure in CIF format:
```
data_Ba3SmB24
_space_group_name_H-M_alt 'P 1'
_space_group_IT_number 1
_cell_length_a 4.235
_cell_length_b 4.235
_cell_length_c 16.958
_cell_angle_alpha 90.00
_cell_angle_beta 90.00
_cell_angle_gamma 90.00
loop_
_space_group_symop_operation_xyz
'x,y,z'
loop_
_atom_site_label
_atom_site_type_symbol
_atom_site_fract_x
_atom_site_fract_y
_atom_site_fract_z
Ba1 Ba 0.000 0.000 0.249
Ba2 Ba 0.000 0.000 0.500
Ba3 Ba 0.000 0.000 0.751
Sm1 Sm 0.000 0.000 0.000
B1 B 0.203 0.500 0.121
B2 B 0.204 0.500 0.374
B3 B 0.204 0.500 0.626
B4 B 0.203 0.500 0.879
B5 B 0.500 0.500 0.196
B6 B 0.500 0.500 0.448
B7 B 0.500 0.500 0.701
B8 B 0.500 0.500 0.951
B9 B 0.500 0.203 0.121
B10 B 0.500 0.204 0.374
B11 B 0.500 0.204 0.626
B12 B 0.500 0.203 0.879
B13 B 0.500 0.500 0.049
B14 B 0.500 0.500 0.299
B15 B 0.500 0.500 0.552
B16 B 0.500 0.500 0.804
B17 B 0.500 0.797 0.121
B18 B 0.500 0.796 0.374
B19 B 0.500 0.796 0.626
B20 B 0.500 0.797 0.879
B21 B 0.797 0.500 0.121
B22 B 0.796 0.500 0.374
B23 B 0.796 0.500 0.626
B24 B 0.797 0.500 0.879
```

**N(E_F)**: 2.56 states/eV per cell
**Energy of formation from the pure elements**: -11.82 eV per formula unit
**Magnetization**: 0.00 μB/f.u.

=====

[6]
DFT (PBE-GGA) results for a geometry-optimized BaSnB3 structure.

The structure in CIF format:
```
data_BaSnB3
_space_group_name_H-M_alt 'P 1'
_space_group_IT_number 1
_cell_length_a 4.660
_cell_length_b 4.660
_cell_length_c 4.660
_cell_angle_alpha 90.00
_cell_angle_beta 90.00
_cell_angle_gamma 90.00
loop_
_space_group_symop_operation_xyz
'x,y,z'
loop_
_atom_site_label
_atom_site_type_symbol
_atom_site_fract_x
_atom_site_fract_y
_atom_site_fract_z
B1 B 0.000 0.500 0.000
B2 B 0.000 0.000 0.500
B3 B 0.500 0.000 0.000
Ba1 Ba 0.500 0.500 0.500
Sn1 Sn 0.000 0.000 0.000
```

**Energy above the lowest structure with this stoichiometry**: 0.000 eV/atom
**N(E_F)**: 2.78 states/eV per cell
**Energy of formation from the pure elements**: 7.25 eV per formula unit
**Magnetization**: 0.00 μB/f.u.

=====

[7]
DFT (PBE-GGA) results for a geometry-optimized BaSnB3 structure.

The structure in CIF format:
```
data_BaSnB3
_space_group_name_H-M_alt 'P 1'
_space_group_IT_number 1
_cell_length_a 4.970
_cell_length_b 4.970
_cell_length_c 4.970
_cell_angle_alpha 90.00
_cell_angle_beta 90.00
_cell_angle_gamma 90.00
loop_
_space_group_symop_operation_xyz
'x,y,z'
loop_
_atom_site_label
_atom_site_type_symbol
_atom_site_fract_x
_atom_site_fract_y
_atom_site_fract_z
B1 B 0.000 0.500 0.000
B2 B 0.000 0.000 0.500
B3 B 0.500 0.000 0.000
Ba1 Ba 0.000 0.000 0.000
Sn1 Sn 0.500 0.500 0.500
```

**Energy above the lowest structure with this stoichiometry**: 1.170 eV/atom
**N(E_F)**: 3.11 states/eV per cell
**Energy of formation from the pure elements**: 13.10 eV per formula unit
**Magnetization**: 0.00 μB/f.u.

=====

[8]
DFT (PBE-GGA) results for a geometry-optimized Ba3SrB structure.

The structure in CIF format:
```
data_Ba3SrB
_space_group_name_H-M_alt 'P 1'
_space_group_IT_number 1
_cell_length_a 6.249
_cell_length_b 6.249
_cell_length_c 6.249
_cell_angle_alpha 90.00
_cell_angle_beta 90.00
_cell_angle_gamma 90.00
loop_
_space_group_symop_operation_xyz
'x,y,z'
loop_
_atom_site_label
_atom_site_type_symbol
_atom_site_fract_x
_atom_site_fract_y
_atom_site_fract_z
Sr1 Sr 0.500 0.500 0.500
B1 B 0.000 0.000 0.000
Ba1 Ba 0.000 0.500 0.000
Ba2 Ba 0.000 0.000 0.500
Ba3 Ba 0.500 0.000 0.000
```

**Energy above the lowest structure with this stoichiometry**: 0.000 eV/atom
**N(E_F)**: 7.52 states/eV per cell
**Energy of formation from the pure elements**: 1.97 eV per formula unit
**Magnetization**: 1.48 μB/f.u.

=====

[9]
DFT (PBE-GGA) results for a geometry-optimized BaSrB2 structure.

The structure in CIF format:
```
data_BaSrB2
_space_group_name_H-M_alt 'P 1'
_space_group_IT_number 1
_cell_length_a 7.762
_cell_length_b 7.762
_cell_length_c 6.744
_cell_angle_alpha 54.87
_cell_angle_beta 54.87
_cell_angle_gamma 90.00
loop_
_space_group_symop_operation_xyz
'x,y,z'
loop_
_atom_site_label
_atom_site_type_symbol
_atom_site_fract_x
_atom_site_fract_y
_atom_site_fract_z
Sr1 Sr 0.500 0.500 0.000
Sr2 Sr 0.250 0.750 0.500
B1 B 0.611 0.125 0.250
B2 B 0.139 0.625 0.250
B3 B 0.375 0.389 0.750
B4 B 0.875 0.861 0.750
Ba1 Ba 0.000 0.000 0.000
Ba2 Ba 0.750 0.250 0.500
```

**Energy above the lowest structure with this stoichiometry**: 0.316 eV/atom
**N(E_F)**: 7.27 states/eV per cell
**Energy of formation from the pure elements**: 5.36 eV per formula unit
**Magnetization**: 2.20 μB/f.u.

=====

[10]
DFT (PBE-GGA) results for a geometry-optimized Ba3SrB structure.

The structure in CIF format:
```
data_Ba3SrB
_space_group_name_H-M_alt 'P 1'
_space_group_IT_number 1
_cell_length_a 6.791
_cell_length_b 6.791
_cell_length_c 6.791
_cell_angle_alpha 90.00
_cell_angle_beta 90.00
_cell_angle_gamma 90.00
loop_
_space_group_symop_operation_xyz
'x,y,z'
loop_
_atom_site_label
_atom_site_type_symbol
_atom_site_fract_x
_atom_site_fract_y
_atom_site_fract_z
Sr1 Sr 0.000 0.000 0.000
B1 B 0.500 0.500 0.500
Ba1 Ba 0.000 0.500 0.000
Ba2 Ba 0.000 0.000 0.500
Ba3 Ba 0.500 0.000 0.000
```

**Energy above the lowest structure with this stoichiometry**: 1.221 eV/atom
**N(E_F)**: 7.11 states/eV per cell
**Energy of formation from the pure elements**: 8.08 eV per formula unit
**Magnetization**: 0.25 μB/f.u.

=====

[11]
DFT (PBE-GGA) results for a geometry-optimized Ba2SrB structure.

The structure in CIF format:
```
data_Ba2SrB
_space_group_name_H-M_alt 'P 1'
_space_group_IT_number 1
_cell_length_a 10.940
_cell_length_b 10.940
_cell_length_c 8.282
_cell_angle_alpha 48.66
_cell_angle_beta 48.66
_cell_angle_gamma 90.00
loop_
_space_group_symop_operation_xyz
'x,y,z'
loop_
_atom_site_label
_atom_site_type_symbol
_atom_site_fract_x
_atom_site_fract_y
_atom_site_fract_z
Sr1 Sr 0.000 0.000 0.000
Sr2 Sr 0.750 0.250 0.500
B1 B 0.500 0.500 0.000
B2 B 0.250 0.750 0.500
Ba1 Ba 0.483 0.125 0.250
Ba2 Ba 0.267 0.625 0.250
Ba3 Ba 0.375 0.517 0.750
Ba4 Ba 0.875 0.733 0.750
```

**N(E_F)**: 11.88 states/eV per cell
**Energy of formation from the pure elements**: 2.26 eV per formula unit
**Magnetization**: 0.25 μB/f.u.

=====

[12]
DFT (PBE-GGA) results for a geometry-optimized BaSrB2 structure.

The structure in CIF format:
```
data_BaSrB2
_space_group_name_H-M_alt 'P 1'
_space_group_IT_number 1
_cell_length_a 5.119
_cell_length_b 5.119
_cell_length_c 5.119
_cell_angle_alpha 60.00
_cell_angle_beta 60.00
_cell_angle_gamma 60.00
loop_
_space_group_symop_operation_xyz
'x,y,z'
loop_
_atom_site_label
_atom_site_type_symbol
_atom_site_fract_x
_atom_site_fract_y
_atom_site_fract_z
Sr1 Sr 0.000 0.000 0.000
B1 B 0.250 0.250 0.250
B2 B 0.750 0.750 0.750
Ba1 Ba 0.500 0.500 0.500
```

**Energy above the lowest structure with this stoichiometry**: 0.000 eV/atom
**N(E_F)**: 3.48 states/eV per cell
**Energy of formation from the pure elements**: 4.09 eV per formula unit
**Magnetization**: 0.00 μB/f.u.

=====

[13]
DFT (PBE-GGA) results for a geometry-optimized BaTa2B structure.

The structure in CIF format:
```
data_BaTa2B
_space_group_name_H-M_alt 'P 1'
_space_group_IT_number 1
_cell_length_a 6.751
_cell_length_b 6.751
_cell_length_c 6.750
_cell_angle_alpha 60.00
_cell_angle_beta 60.00
_cell_angle_gamma 90.00
loop_
_space_group_symop_operation_xyz
'x,y,z'
loop_
_atom_site_label
_atom_site_type_symbol
_atom_site_fract_x
_atom_site_fract_y
_atom_site_fract_z
B1 B 0.500 0.500 0.000
B2 B 0.250 0.750 0.500
Ba1 Ba 0.000 0.000 0.000
Ba2 Ba 0.750 0.250 0.500
Ta1 Ta 0.375 0.125 0.250
Ta2 Ta 0.375 0.625 0.250
Ta3 Ta 0.375 0.625 0.750
Ta4 Ta 0.875 0.625 0.750
```

**N(E_F)**: 6.16 states/eV per cell
**Energy of formation from the pure elements**: 3.92 eV per formula unit
**Magnetization**: 0.00 μB/f.u.